one | ScBeAlIr: relaxed, GGA-PBE.

CIF file:
```
data_ScBeAlIr
_space_group_name_H-M_alt 'P 1'
_space_group_IT_number 1
_space_group_name_Hall 'P 1'
_cell_length_a 6.0920
_cell_length_b 6.0920
_cell_length_c 6.0920
_cell_angle_alpha 90.00
_cell_angle_beta 90.00
_cell_angle_gamma 90.00
loop_
_atom_site_label
_atom_site_type_symbol
_atom_site_fract_x
_atom_site_fract_y
_atom_site_fract_z
Sc1 Sc 0.0000 0.0000 0.0000
Sc2 Sc 0.0000 0.5000 0.5000
Sc3 Sc 0.5000 0.0000 0.5000
Sc4 Sc 0.5000 0.5000 0.0000
Be1 Be 0.2500 0.2500 0.2500
Be2 Be 0.2500 0.7500 0.7500
Be3 Be 0.7500 0.2500 0.7500
Be4 Be 0.7500 0.7500 0.2500
Al1 Al 0.2500 0.2500 0.7500
Al2 Al 0.2500 0.7500 0.2500
Al3 Al 0.7500 0.2500 0.2500
Al4 Al 0.7500 0.7500 0.7500
Ir1 Ir 0.0000 0.0000 0.5000
Ir2 Ir 0.0000 0.5000 0.0000
Ir3 Ir 0.5000 0.0000 0.0000
Ir4 Ir 0.5000 0.5000 0.5000
```

* space-group type: F-43m
* crystal system: cubic
* V: 14.13 Å³ per atom
* density of states at the Fermi level: 0.44 states/eV per atom


two | ScBeAlIr: relaxed, GGA-PBE.

CIF file:
```
data_ScBeAlIr
_space_group_name_H-M_alt 'P 1'
_space_group_IT_number 1
_space_group_name_Hall 'P 1'
_cell_length_a 6.1692
_cell_length_b 6.1692
_cell_length_c 6.1692
_cell_angle_alpha 90.00
_cell_angle_beta 90.00
_cell_angle_gamma 90.00
loop_
_atom_site_label
_atom_site_type_symbol
_atom_site_fract_x
_atom_site_fract_y
_atom_site_fract_z
Sc1 Sc 0.0000 0.0000 0.0000
Sc2 Sc 0.0000 0.5000 0.5000
Sc3 Sc 0.5000 0.0000 0.5000
Sc4 Sc 0.5000 0.5000 0.0000
Be1 Be 0.2500 0.2500 0.7500
Be2 Be 0.2500 0.7500 0.2500
Be3 Be 0.7500 0.2500 0.2500
Be4 Be 0.7500 0.7500 0.7500
Al1 Al 0.0000 0.0000 0.5000
Al2 Al 0.0000 0.5000 0.0000
Al3 Al 0.5000 0.0000 0.0000
Al4 Al 0.5000 0.5000 0.5000
Ir1 Ir 0.2500 0.2500 0.2500
Ir2 Ir 0.2500 0.7500 0.7500
Ir3 Ir 0.7500 0.2500 0.7500
Ir4 Ir 0.7500 0.7500 0.2500
```

* space-group type: F-43m
* crystal system: cubic
* V: 14.67 Å³ per atom
* density of states at the Fermi level: 0.86 states/eV per atom


Short version: one, two, most stable first.


one | Li3BeAl: relaxed, GGA-PBE.

CIF file:
```
data_Li3BeAl
_space_group_name_H-M_alt 'P 1'
_space_group_IT_number 1
_space_group_name_Hall 'P 1'
_cell_length_a 4.4088
_cell_length_b 4.4088
_cell_length_c 4.4088
_cell_angle_alpha 90.00
_cell_angle_beta 90.00
_cell_angle_gamma 90.00
loop_
_atom_site_label
_atom_site_type_symbol
_atom_site_fract_x
_atom_site_fract_y
_atom_site_fract_z
Li1 Li 0.0000 0.0000 0.5000
Li2 Li 0.0000 0.5000 0.0000
Li3 Li 0.5000 0.0000 0.0000
Be1 Be 0.0000 0.0000 0.0000
Al1 Al 0.5000 0.5000 0.5000
```

* space-group type: Pm-3m
* crystal system: cubic
* V: 17.14 Å³ per atom
* density of states at the Fermi level: 0.34 states/eV per atom


two | Li3BeAl: relaxed, GGA-PBE.

CIF file:
```
data_Li3BeAl
_space_group_name_H-M_alt 'P 1'
_space_group_IT_number 1
_space_group_name_Hall 'P 1'
_cell_length_a 4.8319
_cell_length_b 4.8319
_cell_length_c 4.8319
_cell_angle_alpha 90.00
_cell_angle_beta 90.00
_cell_angle_gamma 90.00
loop_
_atom_site_label
_atom_site_type_symbol
_atom_site_fract_x
_atom_site_fract_y
_atom_site_fract_z
Li1 Li 0.0000 0.0000 0.5000
Li2 Li 0.0000 0.5000 0.0000
Li3 Li 0.5000 0.0000 0.0000
Be1 Be 0.5000 0.5000 0.5000
Al1 Al 0.0000 0.0000 0.0000
```

* space-group type: Pm-3m
* crystal system: cubic
* V: 22.56 Å³ per atom
* density of states at the Fermi level: 0.58 states/eV per atom


Short version: one, two, most stable first.


one | Li2BeAl2: relaxed, GGA-PBE.

CIF file:
```
data_Li2BeAl2
_space_group_name_H-M_alt 'P 1'
_space_group_IT_number 1
_space_group_name_Hall 'P 1'
_cell_length_a 5.8763
_cell_length_b 5.8763
_cell_length_c 4.0642
_cell_angle_alpha 90.00
_cell_angle_beta 90.00
_cell_angle_gamma 90.00
loop_
_atom_site_label
_atom_site_type_symbol
_atom_site_fract_x
_atom_site_fract_y
_atom_site_fract_z
Li1 Li 0.1358 0.3642 0.0000
Li2 Li 0.3642 0.8642 0.0000
Li3 Li 0.6358 0.1358 0.0000
Li4 Li 0.8642 0.6358 0.0000
Be1 Be 0.0000 0.0000 0.0000
Be2 Be 0.5000 0.5000 0.0000
Al1 Al 0.1805 0.6805 0.5000
Al2 Al 0.3195 0.1805 0.5000
Al3 Al 0.6805 0.8195 0.5000
Al4 Al 0.8195 0.3195 0.5000
```

* space-group type: P4/mbm
* crystal system: tetragonal
* V: 14.03 Å³ per atom
* density of states at the Fermi level: 0.31 states/eV per atom


two | Li2BeAl2: relaxed, GGA-PBE.

CIF file:
```
data_Li2BeAl2
_space_group_name_H-M_alt 'P 1'
_space_group_IT_number 1
_space_group_name_Hall 'P 1'
_cell_length_a 6.1279
_cell_length_b 6.1279
_cell_length_c 4.4041
_cell_angle_alpha 90.00
_cell_angle_beta 90.00
_cell_angle_gamma 90.00
loop_
_atom_site_label
_atom_site_type_symbol
_atom_site_fract_x
_atom_site_fract_y
_atom_site_fract_z
Li1 Li 0.1610 0.3390 0.0000
Li2 Li 0.3390 0.8390 0.0000
Li3 Li 0.6610 0.1610 0.0000
Li4 Li 0.8390 0.6610 0.0000
Be1 Be 0.0000 0.0000 0.5000
Be2 Be 0.5000 0.5000 0.5000
Al1 Al 0.1540 0.6540 0.5000
Al2 Al 0.3460 0.1540 0.5000
Al3 Al 0.6540 0.8460 0.5000
Al4 Al 0.8460 0.3460 0.5000
```

* space-group type: P4/mbm
* crystal system: tetragonal
* V: 16.54 Å³ per atom
* density of states at the Fermi level: 0.33 states/eV per atom


three | Li2BeAl2: relaxed, GGA-PBE.

CIF file:
```
data_Li2BeAl2
_space_group_name_H-M_alt 'P 1'
_space_group_IT_number 1
_space_group_name_Hall 'P 1'
_cell_length_a 3.6575
_cell_length_b 3.6575
_cell_length_c 13.1633
_cell_angle_alpha 90.00
_cell_angle_beta 90.00
_cell_angle_gamma 90.00
loop_
_atom_site_label
_atom_site_type_symbol
_atom_site_fract_x
_atom_site_fract_y
_atom_site_fract_z
Li1 Li 0.0000 0.0000 0.0912
Li2 Li 0.0000 0.0000 0.9088
Li3 Li 0.5000 0.5000 0.4088
Li4 Li 0.5000 0.5000 0.5912
Be1 Be 0.0000 0.0000 0.5000
Be2 Be 0.5000 0.5000 0.0000
Al1 Al 0.0000 0.5000 0.2500
Al2 Al 0.0000 0.5000 0.7500
Al3 Al 0.5000 0.0000 0.2500
Al4 Al 0.5000 0.0000 0.7500
```

* space-group type: I4/mmm
* crystal system: tetragonal
* V: 17.61 Å³ per atom
* density of states at the Fermi level: 0.39 states/eV per atom


Short version: two, one, three, most stable first.


one | LiBeAl3: relaxed, GGA-PBE.

CIF file:
```
data_LiBeAl3
_space_group_name_H-M_alt 'P 1'
_space_group_IT_number 1
_space_group_name_Hall 'P 1'
_cell_length_a 4.3876
_cell_length_b 4.3876
_cell_length_c 4.3876
_cell_angle_alpha 90.00
_cell_angle_beta 90.00
_cell_angle_gamma 90.00
loop_
_atom_site_label
_atom_site_type_symbol
_atom_site_fract_x
_atom_site_fract_y
_atom_site_fract_z
Li1 Li 0.0000 0.0000 0.0000
Be1 Be 0.5000 0.5000 0.5000
Al1 Al 0.0000 0.0000 0.5000
Al2 Al 0.0000 0.5000 0.0000
Al3 Al 0.5000 0.0000 0.0000
```

* space-group type: Pm-3m
* crystal system: cubic
* V: 16.89 Å³ per atom
* density of states at the Fermi level: 0.40 states/eV per atom


two | LiBeAl3: relaxed, GGA-PBE.

CIF file:
```
data_LiBeAl3
_space_group_name_H-M_alt 'P 1'
_space_group_IT_number 1
_space_group_name_Hall 'P 1'
_cell_length_a 4.4400
_cell_length_b 4.4400
_cell_length_c 4.4400
_cell_angle_alpha 90.00
_cell_angle_beta 90.00
_cell_angle_gamma 90.00
loop_
_atom_site_label
_atom_site_type_symbol
_atom_site_fract_x
_atom_site_fract_y
_atom_site_fract_z
Li1 Li 0.0000 0.0000 0.0000
Be1 Be 0.5000 0.5000 0.5000
Al1 Al 0.0000 0.5000 0.5000
Al2 Al 0.5000 0.0000 0.5000
Al3 Al 0.5000 0.5000 0.0000
```

* space-group type: Pm-3m
* crystal system: cubic
* V: 17.51 Å³ per atom
* density of states at the Fermi level: 0.51 states/eV per atom


Short version: two, one, most stable first.


one | Mg2BeAl: relaxed, GGA-PBE.

CIF file:
```
data_Mg2BeAl
_space_group_name_H-M_alt 'P 1'
_space_group_IT_number 1
_space_group_name_Hall 'P 1'
_cell_length_a 6.4662
_cell_length_b 6.4662
_cell_length_c 6.4662
_cell_angle_alpha 90.00
_cell_angle_beta 90.00
_cell_angle_gamma 90.00
loop_
_atom_site_label
_atom_site_type_symbol
_atom_site_fract_x
_atom_site_fract_y
_atom_site_fract_z
Mg1 Mg 0.0000 0.0000 0.0000
Mg2 Mg 0.0000 0.5000 0.5000
Mg3 Mg 0.2500 0.2500 0.2500
Mg4 Mg 0.2500 0.7500 0.7500
Mg5 Mg 0.5000 0.0000 0.5000
Mg6 Mg 0.5000 0.5000 0.0000
Mg7 Mg 0.7500 0.2500 0.7500
Mg8 Mg 0.7500 0.7500 0.2500
Be1 Be 0.2500 0.2500 0.7500
Be2 Be 0.2500 0.7500 0.2500
Be3 Be 0.7500 0.2500 0.2500
Be4 Be 0.7500 0.7500 0.7500
Al1 Al 0.0000 0.0000 0.5000
Al2 Al 0.0000 0.5000 0.0000
Al3 Al 0.5000 0.0000 0.0000
Al4 Al 0.5000 0.5000 0.5000
```

* space-group type: F-43m
* crystal system: cubic
* V: 16.90 Å³ per atom
* density of states at the Fermi level: 0.08 states/eV per atom


two | Mg2BeAl: relaxed, GGA-PBE.

CIF file:
```
data_Mg2BeAl
_space_group_name_H-M_alt 'P 1'
_space_group_IT_number 1
_space_group_name_Hall 'P 1'
_cell_length_a 3.3410
_cell_length_b 4.1424
_cell_length_c 5.3960
_cell_angle_alpha 90.00
_cell_angle_beta 107.81
_cell_angle_gamma 90.00
loop_
_atom_site_label
_atom_site_type_symbol
_atom_site_fract_x
_atom_site_fract_y
_atom_site_fract_z
Mg1 Mg 0.0000 0.0000 0.0000
Mg2 Mg 0.3241 0.5000 0.6549
Be1 Be 0.7295 0.0000 0.4584
Al1 Al 0.6046 0.5000 0.2126
```

* space-group type: Pm
* crystal system: monoclinic
* V: 17.78 Å³ per atom
* density of states at the Fermi level: 0.26 states/eV per atom


three | Mg2BeAl: relaxed, GGA-PBE.

CIF file:
```
data_Mg2BeAl
_space_group_name_H-M_alt 'P 1'
_space_group_IT_number 1
_space_group_name_Hall 'P 1'
_cell_length_a 5.6970
_cell_length_b 8.1959
_cell_length_c 2.9663
_cell_angle_alpha 90.00
_cell_angle_beta 90.17
_cell_angle_gamma 90.00
loop_
_atom_site_label
_atom_site_type_symbol
_atom_site_fract_x
_atom_site_fract_y
_atom_site_fract_z
Mg1 Mg 0.2500 0.2500 0.0000
Mg2 Mg 0.2500 0.7500 0.0000
Mg3 Mg 0.7500 0.2500 0.0000
Mg4 Mg 0.7500 0.7500 0.0000
Be1 Be 0.0000 0.0000 0.5000
Be2 Be 0.5000 0.5000 0.5000
Al1 Al 0.0000 0.5000 0.5000
Al2 Al 0.5000 0.0000 0.5000
```

* space-group type: C2/m
* crystal system: monoclinic
* V: 17.31 Å³ per atom
* density of states at the Fermi level: 0.38 states/eV per atom


four | Mg2BeAl: relaxed, GGA-PBE.

CIF file:
```
data_Mg2BeAl
_space_group_name_H-M_alt 'P 1'
_space_group_IT_number 1
_space_group_name_Hall 'P 1'
_cell_length_a 4.0960
_cell_length_b 4.0960
_cell_length_c 8.1990
_cell_angle_alpha 90.00
_cell_angle_beta 90.00
_cell_angle_gamma 90.00
loop_
_atom_site_label
_atom_site_type_symbol
_atom_site_fract_x
_atom_site_fract_y
_atom_site_fract_z
Mg1 Mg 0.0000 0.5000 0.2500
Mg2 Mg 0.0000 0.5000 0.7500
Mg3 Mg 0.5000 0.0000 0.2500
Mg4 Mg 0.5000 0.0000 0.7500
Be1 Be 0.0000 0.0000 0.0000
Be2 Be 0.5000 0.5000 0.5000
Al1 Al 0.0000 0.0000 0.5000
Al2 Al 0.5000 0.5000 0.0000
```

* space-group type: I4/mmm
* crystal system: tetragonal
* V: 17.19 Å³ per atom
* density of states at the Fermi level: 0.30 states/eV per atom


Short version: two, four, three, one, most stable first.